A relaxed structure of BaTeW. Source: OQMD, functional PBE.

The structure in POSCAR format:
```
BaTeW
1.0
0.000 3.653 3.653
3.653 0.000 3.653
3.653 3.653 0.000
Ba Te W
1 1 1
Cartesian
0.000 0.000 0.000 Ba
3.653 3.653 3.653 Te
1.827 1.827 1.827 W
```

Summary:
Offset from the most stable computed form (meV/atom): 0
Total DFT energy (no corrections) (eV/atom): -5.022
Total magnetic moment (μB per atom): 1.35